Entry 1:
A relaxed Cs4H2Br5 crystal. Source: Alexandria, functional PBE-GGA.

```
data_Cs4H2Br5
_chemical_formula_sum 'Cs4 H2 Br5'
_symmetry_space_group_name_H-M 'P 1 2/m 1'
_symmetry_Int_Tables_number 10
_symmetry_space_group_name_Hall '-P 2y'
_cell_length_a 9.007
_cell_length_b 4.960
_cell_length_c 12.300
_cell_angle_alpha 90.00
_cell_angle_beta 97.33
_cell_angle_gamma 90.00
loop_
_atom_site_label
_atom_site_fract_x
_atom_site_fract_y
_atom_site_fract_z
_atom_site_occupancy
Cs1 0.208 0.000 0.145 1
Cs2 0.254 0.000 0.610 1
H1 0.320 0.500 0.855 1
Br1 0.000 0.500 0.500 1
Br2 0.151 0.500 0.907 1
Br3 0.482 0.500 0.792 1
```

Results
Fermi-level density of states in states/eV per atom: 0.213
E_tot in eV per atom: -2.7161
Mass density in g/cm³: 2.84

***

Entry 2:
A relaxed Y8Co2Pd crystal. Source: Alexandria, functional PBE-GGA.

```
data_Y8Co2Pd
_chemical_formula_sum 'Y16 Co4 Pd2'
_symmetry_space_group_name_H-M 'C 1 m 1'
_symmetry_Int_Tables_number 8
_symmetry_space_group_name_Hall 'C -2y'
_cell_length_a 8.285
_cell_length_b 12.345
_cell_length_c 5.947
_cell_angle_alpha 90.00
_cell_angle_beta 106.83
_cell_angle_gamma 90.00
loop_
_atom_site_label
_atom_site_fract_x
_atom_site_fract_y
_atom_site_fract_z
_atom_site_occupancy
Y1 0.000 0.000 0.000 1
Y2 0.074 0.366 0.789 1
Y3 0.160 0.133 0.592 1
Y4 0.237 0.500 0.380 1
Y5 0.369 0.224 0.190 1
Co1 0.366 0.310 0.688 1
Pd1 0.369 0.000 0.044 1
```

Results
Fermi-level density of states in states/eV per atom: 1.083
E_tot in eV per atom: -6.6188
Formation energy from the elements in meV per atom: -154
Mass density in g/cm³: 5.34

***

Entry 3:
A relaxed K2MgZn crystal. Source: Alexandria, functional PBE-GGA.

```
data_K2MgZn
_chemical_formula_sum 'K2 Mg1 Zn1'
_symmetry_space_group_name_H-M 'P 4 m m'
_symmetry_Int_Tables_number 99
_symmetry_space_group_name_Hall 'P 4 -2'
_cell_length_a 3.858
_cell_length_b 3.858
_cell_length_c 10.284
_cell_angle_alpha 90.00
_cell_angle_beta 90.00
_cell_angle_gamma 90.00
loop_
_atom_site_label
_atom_site_fract_x
_atom_site_fract_y
_atom_site_fract_z
_atom_site_occupancy
K1 0.000 0.000 0.000 1
K2 0.500 0.500 0.388 1
Mg1 0.000 0.000 0.655 1
Zn1 0.500 0.500 0.757 1
```

Results
ΔE to the lowest computed polymorph in eV per atom: 0.004
Fermi-level density of states in states/eV per atom: 0.495
E_tot in eV per atom: -1.1490
Formation energy from the elements in meV per atom: 117
Mass density in g/cm³: 1.82

***

Entry 4:
A relaxed CaAc2Zn3Ga4 crystal. Source: Alexandria, functional PBE-GGA.

```
data_CaAc2Zn3Ga4
_chemical_formula_sum 'Ca1 Ac2 Zn3 Ga4'
_symmetry_space_group_name_H-M 'P -4 m 2'
_symmetry_Int_Tables_number 115
_symmetry_space_group_name_Hall 'P -4 -2'
_cell_length_a 4.515
_cell_length_b 4.515
_cell_length_c 11.550
_cell_angle_alpha 90.00
_cell_angle_beta 90.00
_cell_angle_gamma 90.00
loop_
_atom_site_label
_atom_site_fract_x
_atom_site_fract_y
_atom_site_fract_z
_atom_site_occupancy
Ca1 0.000 0.000 0.000 1
Ac1 0.000 0.500 0.724 1
Zn1 0.000 0.500 0.381 1
Zn2 0.500 0.500 0.000 1
Ga1 0.000 0.000 0.500 1
Ga2 0.000 0.500 0.161 1
Ga3 0.500 0.500 0.500 1
```

Results
Fermi-level density of states in states/eV per atom: 0.559
E_tot in eV per atom: -3.0166
Formation energy from the elements in meV per atom: -402
Mass density in g/cm³: 6.84

***

Entry 5:
A relaxed La2YIn9 crystal. Source: Alexandria, functional PBE-GGA.

```
data_La2YIn9
_chemical_formula_sum 'La2 Y1 In9'
_symmetry_space_group_name_H-M 'P 4/m m m'
_symmetry_Int_Tables_number 123
_symmetry_space_group_name_Hall '-P 4 2'
_cell_length_a 4.746
_cell_length_b 4.746
_cell_length_c 14.194
_cell_angle_alpha 90.00
_cell_angle_beta 90.00
_cell_angle_gamma 90.00
loop_
_atom_site_label
_atom_site_fract_x
_atom_site_fract_y
_atom_site_fract_z
_atom_site_occupancy
La1 0.000 0.000 0.171 1
Y1 0.000 0.000 0.500 1
In1 0.000 0.500 0.000 1
In2 0.000 0.500 0.339 1
In3 0.500 0.500 0.167 1
In4 0.500 0.500 0.500 1
```

Results
Fermi-level density of states in states/eV per atom: 0.571
E_tot in eV per atom: -3.8805
Formation energy from the elements in meV per atom: -467
Mass density in g/cm³: 7.27

***

Entry 6:
A relaxed YEr3N crystal. Source: Alexandria, functional PBE-GGA.

```
data_YEr3N
_chemical_formula_sum 'Y1 Er3 N1'
_symmetry_space_group_name_H-M 'P m -3 m'
_symmetry_Int_Tables_number 221
_symmetry_space_group_name_Hall '-P 4 2 3'
_cell_length_a 4.920
_cell_length_b 4.920
_cell_length_c 4.920
_cell_angle_alpha 90.00
_cell_angle_beta 90.00
_cell_angle_gamma 90.00
loop_
_atom_site_label
_atom_site_fract_x
_atom_site_fract_y
_atom_site_fract_z
_atom_site_occupancy
Y1 0.000 0.000 0.000 1
Er1 0.000 0.500 0.500 1
N1 0.500 0.500 0.500 1
```

Results
Fermi-level density of states in states/eV per atom: 1.393
E_tot in eV per atom: -6.2265
Mass density in g/cm³: 8.43

***

Entry 7:
A relaxed V2RhN crystal. Source: Alexandria, functional PBE-GGA.

```
data_V2RhN
_chemical_formula_sum 'V8 Rh4 N4'
_symmetry_space_group_name_H-M 'I -4 2 d'
_symmetry_Int_Tables_number 122
_symmetry_space_group_name_Hall 'I -4 2bw'
_cell_length_a 5.770
_cell_length_b 5.770
_cell_length_c 6.115
_cell_angle_alpha 90.00
_cell_angle_beta 90.00
_cell_angle_gamma 90.00
loop_
_atom_site_label
_atom_site_fract_x
_atom_site_fract_y
_atom_site_fract_z
_atom_site_occupancy
V1 0.168 0.750 0.125 1
Rh1 0.000 0.000 0.500 1
N1 0.000 0.000 0.000 1
```

Results
Fermi-level density of states in states/eV per atom: 1.052
E_tot in eV per atom: -8.7944
Mass density in g/cm³: 7.14

***

Entry 8:
A relaxed CoSeCl2 crystal. Source: Alexandria, functional PBE-GGA.

```
data_CoSeCl2
_chemical_formula_sum 'Co1 Se1 Cl2'
_symmetry_space_group_name_H-M 'P 4/m m m'
_symmetry_Int_Tables_number 123
_symmetry_space_group_name_Hall '-P 4 2'
_cell_length_a 2.959
_cell_length_b 2.959
_cell_length_c 11.209
_cell_angle_alpha 90.00
_cell_angle_beta 90.00
_cell_angle_gamma 90.00
loop_
_atom_site_label
_atom_site_fract_x
_atom_site_fract_y
_atom_site_fract_z
_atom_site_occupancy
Co1 0.000 0.000 0.000 1
Se1 0.000 0.000 0.500 1
Cl1 0.500 0.500 0.134 1
```

Results
ΔE to the lowest computed polymorph in eV per atom: 0.326
Fermi-level density of states in states/eV per atom: 0.579
E_tot in eV per atom: -3.4910
Mass density in g/cm³: 3.53

***

Entry 9:
A relaxed Sr2CaI crystal. Source: Alexandria, functional PBE-GGA.

```
data_Sr2CaI
_chemical_formula_sum 'Sr6 Ca3 I3'
_symmetry_space_group_name_H-M 'R 3 m'
_symmetry_Int_Tables_number 160
_symmetry_space_group_name_Hall 'R 3 -2"'
_cell_length_a 4.2368
_cell_length_b 4.2368
_cell_length_c 34.8009
_cell_angle_alpha 90.00
_cell_angle_beta 90.00
_cell_angle_gamma 120.00
loop_
_atom_site_label
_atom_site_fract_x
_atom_site_fract_y
_atom_site_fract_z
_atom_site_occupancy
Sr1 0.0000 0.0000 0.0000 1
Sr2 0.0000 0.0000 0.1490 1
Ca1 0.0000 0.0000 0.5746 1
I1 0.0000 0.0000 0.4078 1
```

Results
ΔE to the lowest computed polymorph in eV per atom: 0.002
Fermi-level density of states in states/eV per atom: 1.125
E_tot in eV per atom: -2.2922
Mass density in g/cm³: 3.15

***

Entry 10:
A relaxed Na2Ga3Ir crystal. Source: Alexandria, functional PBE-GGA.

```
data_Na2Ga3Ir
_chemical_formula_sum 'Na8 Ga12 Ir4'
_symmetry_space_group_name_H-M 'C m c m'
_symmetry_Int_Tables_number 63
_symmetry_space_group_name_Hall '-C 2c 2'
_cell_length_a 8.084
_cell_length_b 10.178
_cell_length_c 5.502
_cell_angle_alpha 90.00
_cell_angle_beta 90.00
_cell_angle_gamma 90.00
loop_
_atom_site_label
_atom_site_fract_x
_atom_site_fract_y
_atom_site_fract_z
_atom_site_occupancy
Na1 0.161 0.247 0.250 1
Ga1 0.000 0.137 0.750 1
Ga2 0.225 0.500 0.000 1
Ir1 0.000 0.385 0.750 1
```

Results
Fermi-level density of states in states/eV per atom: 0.405
E_tot in eV per atom: -3.5606
Formation energy from the elements in meV per atom: -131
Mass density in g/cm³: 6.56

***

Entry 11:
A relaxed Rb2TlAu crystal. Source: Alexandria, functional PBE-GGA.

```
data_Rb2TlAu
_chemical_formula_sum 'Rb4 Tl2 Au2'
_symmetry_space_group_name_H-M 'C 1 2 1'
_symmetry_Int_Tables_number 5
_symmetry_space_group_name_Hall 'C 2y'
_cell_length_a 11.591
_cell_length_b 7.177
_cell_length_c 4.795
_cell_angle_alpha 90.00
_cell_angle_beta 114.15
_cell_angle_gamma 90.00
loop_
_atom_site_label
_atom_site_fract_x
_atom_site_fract_y
_atom_site_fract_z
_atom_site_occupancy
Rb1 0.192 0.000 0.193 1
Tl1 0.000 0.494 0.000 1
Au1 0.000 0.278 0.500 1
```

Results
ΔE to the lowest computed polymorph in eV per atom: 0.011
Fermi-level density of states in states/eV per atom: 0.586
E_tot in eV per atom: -2.0549
Formation energy from the elements in meV per atom: -160
Mass density in g/cm³: 5.22

***

Entry 12:
A relaxed La4IrPb2 crystal. Source: Alexandria, functional PBE-GGA.

```
data_La4IrPb2
_chemical_formula_sum 'La8 Ir2 Pb4'
_symmetry_space_group_name_H-M 'P 1 21/m 1'
_symmetry_Int_Tables_number 11
_symmetry_space_group_name_Hall '-P 2yb'
_cell_length_a 6.797
_cell_length_b 6.991
_cell_length_c 9.959
_cell_angle_alpha 90.00
_cell_angle_beta 102.36
_cell_angle_gamma 90.00
loop_
_atom_site_label
_atom_site_fract_x
_atom_site_fract_y
_atom_site_fract_z
_atom_site_occupancy
La1 0.188 0.250 0.107 1
La2 0.290 0.004 0.762 1
La3 0.297 0.750 0.402 1
Ir1 0.460 0.250 0.347 1
Pb1 0.109 0.250 0.454 1
Pb2 0.302 0.750 0.059 1
```

Results
ΔE to the lowest computed polymorph in eV per atom: 0.060
Fermi-level density of states in states/eV per atom: 0.597
E_tot in eV per atom: -5.7211
Formation energy from the elements in meV per atom: -580
Mass density in g/cm³: 8.35

***

no.,M_tot (μB per formula unit)
1,0.18
2,0.00
3,0.00
4,0.00
5,0.00
6,0.00
7,0.00
8,3.02
9,0.00
10,0.00
11,0.00
12,0.00